5
Lattice="-1.321 -4.039 0.584 3.142 -1.398 -2.563 2.604 -0.362 3.389" Properties=species:S:1:pos:R:3 comment="V3HgO | Alexandria | PBE with a Hubbard U | optimized geometry" crystal_system=cubic de_polymorph_kj_per_mol_atoms=0.0 pbc="T T T"
Hg 2.213 -2.900 0.705
O 0.000 0.000 0.000
V 1.571 -0.699 -1.282
V 1.302 -0.181 1.695
V -0.661 -2.020 0.292